# 1
First-principles (PBE-GGA) data for an optimized crystal structure of Rb3Nd2ThS6, as listed in Alexandria.

Unit cell a=7.2658 b=7.2658 c=8.1100 alpha=98.59 beta=98.59 gamma=120.00
Positions (direct):
Rb: 0.1684 0.8316 0.5000
Rb: 0.8316 0.1684 0.5000
Rb: 0.5000 0.5000 0.5000
Nd: 0.3335 0.6665 0.0000
Nd: 0.6665 0.3335 0.0000
Th: 0.0000 0.0000 0.0000
S: 0.9336 0.6072 0.8008
S: 0.7402 0.7402 0.1996
S: 0.0664 0.3928 0.1992
S: 0.6072 0.9336 0.8008
S: 0.2598 0.2598 0.8004
S: 0.3928 0.0664 0.1992

Results
Its density of states at the Fermi level is 0.38 states/eV per atom. The value obtained for the formation energy from raw total energies is -21.297 eV/f.u. The total energy comes out at -65.9 eV per cell.

---

# 2
First-principles (PBE-GGA) data for an optimized crystal structure of Rb3Nd3TiS8, as listed in Alexandria.

Unit cell a=8.1235 b=8.1254 c=9.1506 alpha=116.39 beta=90.00 gamma=119.99
Positions (direct):
Rb: 0.0000 0.0000 0.0000
Rb: 0.0000 0.5000 0.0000
Rb: 0.5000 0.5000 0.0000
Nd: 0.5000 0.0000 0.5000
Nd: 0.5000 0.5000 0.5000
Nd: 0.0000 0.5000 0.5000
Ti: 0.0000 0.0000 0.5000
S: 0.2668 0.5336 0.3005
S: 0.7332 0.4664 0.6995
S: 0.7915 0.5830 0.3197
S: 0.2085 0.4170 0.6803
S: 0.7915 0.0281 0.3197
S: 0.2085 0.9719 0.6803
S: 0.2366 0.0281 0.3197
S: 0.7634 0.9719 0.6803

Results
The value obtained for the formation energy from raw total energies is -25.157 eV/f.u. The total energy comes out at -83.3 eV per cell.

---

# 3
First-principles (PBE-GGA) data for an optimized crystal structure of RbNdTiS4, as listed in Alexandria.

Unit cell a=6.7999 b=6.7947 c=9.1941 alpha=90.00 beta=107.64 gamma=90.00
Positions (direct):
Rb: 0.7250 0.7500 0.9359
Rb: 0.2750 0.2500 0.0641
Nd: 0.7807 0.7500 0.4514
Nd: 0.2193 0.2500 0.5486
Ti: 0.2300 0.7500 0.3295
Ti: 0.7700 0.2500 0.6705
S: 0.9989 0.5037 0.7045
S: 0.0011 0.0037 0.2955
S: 0.0011 0.4963 0.2955
S: 0.9989 0.9963 0.7045
S: 0.4345 0.7500 0.1778
S: 0.5655 0.2500 0.8222
S: 0.4309 0.7500 0.5711
S: 0.5691 0.2500 0.4289

Results
Its density of states at the Fermi level is 0.00 states/eV per atom. The value obtained for the formation energy from raw total energies is -11.286 eV/f.u. The total energy comes out at -82.9 eV per cell.

---

# 4
First-principles (PBE-GGA) data for an optimized crystal structure of Rb3Nd2TmS6, as listed in Alexandria.

Unit cell a=7.2053 b=7.2053 c=8.0758 alpha=98.56 beta=98.56 gamma=120.00
Positions (direct):
Rb: 0.1680 0.8320 0.5000
Rb: 0.8320 0.1680 0.5000
Rb: 0.5000 0.5000 0.5000
Nd: 0.3335 0.6665 0.0000
Nd: 0.6665 0.3335 0.0000
Tm: 0.0000 0.0000 0.0000
S: 0.9352 0.6132 0.8056
S: 0.7431 0.7431 0.1947
S: 0.0648 0.3868 0.1944
S: 0.6132 0.9352 0.8056
S: 0.2569 0.2569 0.8053
S: 0.3868 0.0648 0.1944

Results
Its density of states at the Fermi level is 0.00 states/eV per atom. The value obtained for the formation energy from raw total energies is -21.940 eV/f.u. The total energy comes out at -63.6 eV per cell.

---

# 5
First-principles (PBE-GGA) data for an optimized crystal structure of Rb4NdU3S8, as listed in Alexandria.

Unit cell a=8.2292 b=9.0841 c=8.2291 alpha=116.94 beta=120.00 gamma=90.00
Positions (direct):
Rb: 0.5000 0.0000 0.0000
Rb: 0.5000 0.0000 0.5000
Rb: 0.0000 0.0000 0.0000
Rb: 0.0000 0.0000 0.5000
Nd: 0.0000 0.5000 0.0000
U: 0.5000 0.5000 0.0000
U: 0.5000 0.5000 0.5000
U: 0.0000 0.5000 0.5000
S: 0.2359 0.6958 0.9600
S: 0.2359 0.6958 0.4717
S: 0.2695 0.3087 0.5391
S: 0.7241 0.6958 0.9600
S: 0.2759 0.3042 0.0400
S: 0.7305 0.6913 0.4609
S: 0.7641 0.3042 0.5283
S: 0.7641 0.3042 0.0400

Results
Its density of states at the Fermi level is 0.95 states/eV per atom. The value obtained for the formation energy from raw total energies is -23.360 eV/f.u. The total energy comes out at -98.9 eV per cell.

---

# 6
First-principles (PBE-GGA) data for an optimized crystal structure of Rb4NdU3S12, as listed in Alexandria.

Unit cell a=9.1138 b=9.1138 c=9.1138 alpha=109.47 beta=109.47 gamma=109.47
Positions (direct):
Rb: 0.5000 0.5000 0.5000
Rb: 0.0000 0.0000 0.5000
Rb: 0.5000 0.0000 0.0000
Rb: 0.0000 0.5000 0.0000
Nd: 0.0000 0.0000 0.0000
U: 0.5000 0.0000 0.5000
U: 0.5000 0.5000 0.0000
U: 0.0000 0.5000 0.5000
S: 0.2500 0.5000 0.7500
S: 0.7364 0.0000 0.7364
S: 0.2636 0.0000 0.2636
S: 0.7500 0.5000 0.2500
S: 0.7364 0.7364 0.0000
S: 0.2636 0.2636 0.0000
S: 0.7500 0.2500 0.5000
S: 0.2500 0.7500 0.5000
S: 0.5000 0.2500 0.7500
S: 0.0000 0.7364 0.7364
S: 0.5000 0.7500 0.2500
S: 0.0000 0.2636 0.2636

Results
Its density of states at the Fermi level is 0.44 states/eV per atom. The value obtained for the formation energy from raw total energies is -27.424 eV/f.u. The total energy comes out at -119.5 eV per cell.

---

# 7
First-principles (PBE-GGA) data for an optimized crystal structure of Rb3NdU3S8, as listed in Alexandria.

Unit cell a=8.1587 b=8.1587 c=9.1281 alpha=116.57 beta=90.00 gamma=120.00
Positions (direct):
Rb: 0.0000 0.0000 0.0000
Rb: 0.0000 0.5000 0.0000
Rb: 0.5000 0.5000 0.0000
Nd: 0.0000 0.0000 0.5000
U: 0.5000 0.0000 0.5000
U: 0.5000 0.5000 0.5000
U: 0.0000 0.5000 0.5000
S: 0.2698 0.5395 0.3094
S: 0.7302 0.4605 0.6906
S: 0.7648 0.5296 0.3097
S: 0.2352 0.4704 0.6903
S: 0.7648 0.0446 0.3096
S: 0.2352 0.9554 0.6904
S: 0.2798 0.0446 0.3096
S: 0.7202 0.9554 0.6904

Results
Its density of states at the Fermi level is 0.97 states/eV per atom. The value obtained for the formation energy from raw total energies is -22.521 eV/f.u. The total energy comes out at -97.1 eV per cell.

---

# 8
First-principles (PBE-GGA) data for an optimized crystal structure of Rb2Nd2US6, as listed in Alexandria.

Unit cell a=7.1639 b=7.1639 c=8.2203 alpha=98.52 beta=98.52 gamma=119.74
Positions (direct):
Rb: 0.8305 0.1695 0.0000
Rb: 0.1695 0.8305 0.0000
Nd: 0.3338 0.6662 0.5000
Nd: 0.6662 0.3338 0.5000
U: 0.0000 0.0000 0.5000
S: 0.7481 0.7481 0.6881
S: 0.0614 0.3831 0.6886
S: 0.2519 0.2519 0.3119
S: 0.3831 0.0614 0.6886
S: 0.9386 0.6169 0.3114
S: 0.6169 0.9386 0.3114

Results
Its density of states at the Fermi level is 0.62 states/eV per atom. The value obtained for the formation energy from raw total energies is -18.795 eV/f.u. The total energy comes out at -66.3 eV per cell.

---

# 9
First-principles (PBE-GGA) data for an optimized crystal structure of Rb2NdUS6, as listed in Alexandria.

Unit cell a=7.5470 b=7.5480 c=10.6727 alpha=90.00 beta=90.03 gamma=90.00
Positions (direct):
Rb: 0.0005 0.9991 0.2500
Rb: 0.5005 0.5009 0.7500
Rb: 0.9995 0.0009 0.7500
Rb: 0.4995 0.4991 0.2500
Nd: 0.5000 0.0000 0.0000
Nd: 0.0000 0.5000 0.5000
U: 0.5000 0.0000 0.5000
U: 0.0000 0.5000 0.0000
S: 0.2397 0.7364 0.0012
S: 0.7397 0.7636 0.5012
S: 0.7603 0.2636 0.9988
S: 0.2603 0.2364 0.4988
S: 0.2636 0.7603 0.4989
S: 0.7636 0.7397 0.9989
S: 0.7364 0.2397 0.5011
S: 0.2364 0.2603 0.0011
S: 0.9981 0.4998 0.2381
S: 0.4981 0.0002 0.7381
S: 0.0019 0.5002 0.7619
S: 0.5019 0.9998 0.2619

Results
Its density of states at the Fermi level is 0.72 states/eV per atom. The value obtained for the formation energy from raw total energies is -13.268 eV/f.u. The total energy comes out at -112.0 eV per cell.

---

# 10
First-principles (PBE-GGA) data for an optimized crystal structure of Rb2NdUS4, as listed in Alexandria.

Unit cell a=4.1610 b=7.2005 c=8.0910 alpha=107.29 beta=90.00 gamma=90.00
Positions (direct):
Rb: 0.5000 0.0000 0.5000
Rb: 0.0000 0.5000 0.5000
Nd: 0.0000 0.0000 0.0000
U: 0.5000 0.5000 0.0000
S: 0.5000 0.2405 0.1977
S: 0.5000 0.7595 0.8023
S: 0.0000 0.2769 0.8064
S: 0.0000 0.7231 0.1936

Results
Its density of states at the Fermi level is 0.80 states/eV per atom. The value obtained for the formation energy from raw total energies is -12.578 eV/f.u. The total energy comes out at -47.1 eV per cell.

---

# 11
First-principles (PBE-GGA) data for an optimized crystal structure of Rb3Nd3VS8, as listed in Alexandria.

Unit cell a=8.1008 b=8.1011 c=9.1368 alpha=116.33 beta=90.00 gamma=120.00
Positions (direct):
Rb: 0.0000 0.0000 0.0000
Rb: 0.0000 0.5000 0.0000
Rb: 0.5000 0.5000 0.0000
Nd: 0.5000 0.0000 0.5000
Nd: 0.5000 0.5000 0.5000
Nd: 0.0000 0.5000 0.5000
V: 0.0000 0.0000 0.5000
S: 0.2665 0.5331 0.2997
S: 0.7335 0.4669 0.7003
S: 0.7939 0.5877 0.3215
S: 0.2061 0.4123 0.6785
S: 0.7939 0.0275 0.3216
S: 0.2061 0.9725 0.6784
S: 0.2336 0.0276 0.3216
S: 0.7664 0.9724 0.6784

Results
Its density of states at the Fermi level is 0.43 states/eV per atom. The value obtained for the formation energy from raw total energies is -23.051 eV/f.u. The total energy comes out at -82.4 eV per cell.

---

# 12
First-principles (PBE-GGA) data for an optimized crystal structure of RbNdVS4, as listed in Alexandria.

Unit cell a=6.6890 b=6.6594 c=9.1584 alpha=90.00 beta=107.63 gamma=90.00
Positions (direct):
Rb: 0.7285 0.7500 0.9372
Rb: 0.2715 0.2500 0.0628
Nd: 0.7744 0.7500 0.4527
Nd: 0.2256 0.2500 0.5473
V: 0.2273 0.7500 0.3291
V: 0.7727 0.2500 0.6709
S: 0.0007 0.5016 0.7067
S: 0.9993 0.0016 0.2933
S: 0.9993 0.4984 0.2933
S: 0.0007 0.9984 0.7067
S: 0.4225 0.7500 0.1753
S: 0.5775 0.2500 0.8247
S: 0.4164 0.7500 0.5704
S: 0.5836 0.2500 0.4296

Results
Its density of states at the Fermi level is 0.70 states/eV per atom. The value obtained for the formation energy from raw total energies is -9.690 eV/f.u. The total energy comes out at -82.1 eV per cell.

---

# 13
First-principles (PBE-GGA) data for an optimized crystal structure of Rb2NdYS4, as listed in Alexandria.

Unit cell a=4.1557 b=7.1986 c=8.0732 alpha=107.28 beta=90.00 gamma=90.00
Positions (direct):
Rb: 0.5000 0.0000 0.5000
Rb: 0.0000 0.5000 0.5000
Nd: 0.5000 0.5000 0.0000
Y: 0.0000 0.0000 0.0000
S: 0.5000 0.2242 0.1934
S: 0.5000 0.7758 0.8066
S: 0.0000 0.2608 0.8038
S: 0.0000 0.7392 0.1962

Results
Its density of states at the Fermi level is 0.00 states/eV per atom. The value obtained for the formation energy from raw total energies is -14.703 eV/f.u. The total energy comes out at -44.4 eV per cell.

---

# 14
First-principles (PBE-GGA) data for an optimized crystal structure of Rb3Nd2YS6, as listed in Alexandria.

Unit cell a=7.2385 b=7.2385 c=8.0821 alpha=98.59 beta=98.59 gamma=120.00
Positions (direct):
Rb: 0.1676 0.8324 0.5000
Rb: 0.8324 0.1676 0.5000
Rb: 0.5000 0.5000 0.5000
Nd: 0.3334 0.6666 0.0000
Nd: 0.6666 0.3334 0.0000
Y: 0.0000 0.0000 0.0000
S: 0.9348 0.6093 0.8045
S: 0.7398 0.7398 0.1957
S: 0.0652 0.3907 0.1955
S: 0.6093 0.9348 0.8045
S: 0.2602 0.2602 0.8043
S: 0.3907 0.0652 0.1955

Results
Its density of states at the Fermi level is 0.00 states/eV per atom. The value obtained for the formation energy from raw total energies is -22.002 eV/f.u. The total energy comes out at -65.7 eV per cell.

---

# 15
First-principles (PBE-GGA) data for an optimized crystal structure of Rb4Nd3YS8, as listed in Alexandria.

Unit cell a=8.3814 b=9.1096 c=8.3816 alpha=117.41 beta=120.00 gamma=90.00
Positions (direct):
Rb: 0.5000 0.0000 0.0000
Rb: 0.5000 0.0000 0.5000
Rb: 0.0000 0.0000 0.0000
Rb: 0.0000 0.0000 0.5000
Nd: 0.5000 0.5000 0.0000
Nd: 0.5000 0.5000 0.5000
Nd: 0.0000 0.5000 0.5000
Y: 0.0000 0.5000 0.0000
S: 0.2283 0.6953 0.9671
S: 0.2283 0.6953 0.4567
S: 0.2672 0.3017 0.5344
S: 0.7388 0.6953 0.9671
S: 0.2612 0.3047 0.0329
S: 0.7328 0.6983 0.4656
S: 0.7717 0.3047 0.5433
S: 0.7717 0.3047 0.0329

Results
Its density of states at the Fermi level is 0.00 states/eV per atom. The value obtained for the formation energy from raw total energies is -29.281 eV/f.u. The total energy comes out at -86.9 eV per cell.

---

# 16
First-principles (PBE-GGA) data for an optimized crystal structure of Rb2NdZn2S4, as listed in Alexandria.

Unit cell a=4.0761 b=8.0068 c=8.1581 alpha=110.58 beta=104.47 gamma=90.00
Positions (direct):
Rb: 0.1289 0.5521 0.2577
Rb: 0.8711 0.4479 0.7423
Nd: 0.0000 0.0000 0.0000
Zn: 0.6784 0.9878 0.3567
Zn: 0.3216 0.0122 0.6433
S: 0.1988 0.1667 0.3976
S: 0.8012 0.8333 0.6024
S: 0.5310 0.7741 0.0620
S: 0.4690 0.2259 0.9380

Results
Its density of states at the Fermi level is 0.41 states/eV per atom. The value obtained for the formation energy from raw total energies is -10.183 eV/f.u. The total energy comes out at -35.9 eV per cell.

---

# 17
First-principles (PBE-GGA) data for an optimized crystal structure of RbNdZnS3, as listed in Alexandria.

Unit cell a=4.1162 b=9.2263 c=9.7126 alpha=107.27 beta=90.00 gamma=90.00
Positions (direct):
Rb: 0.2500 0.1997 0.2290
Rb: 0.7500 0.8003 0.7710
Nd: 0.2500 0.6658 0.1470
Nd: 0.7500 0.3342 0.8530
Zn: 0.2500 0.0822 0.6077
Zn: 0.7500 0.9178 0.3923
S: 0.7500 0.8811 0.1472
S: 0.2500 0.1189 0.8528
S: 0.2500 0.8180 0.4677
S: 0.7500 0.1820 0.5323
S: 0.7500 0.4583 0.1531
S: 0.2500 0.5417 0.8469

Results
Its density of states at the Fermi level is 0.00 states/eV per atom. The value obtained for the formation energy from raw total energies is -8.735 eV/f.u. The total energy comes out at -56.3 eV per cell.

---

# 18
First-principles (PBE-GGA) data for an optimized crystal structure of Rb2NdZrS4, as listed in Alexandria.

Unit cell a=3.9855 b=6.9761 c=8.0614 alpha=106.36 beta=90.00 gamma=90.00
Positions (direct):
Rb: 0.5000 0.0000 0.5000
Rb: 0.0000 0.5000 0.5000
Nd: 0.5000 0.5000 0.0000
Zr: 0.0000 0.0000 0.0000
S: 0.5000 0.2119 0.1905
S: 0.5000 0.7881 0.8095
S: 0.0000 0.2466 0.8021
S: 0.0000 0.7534 0.1979

Results
Its density of states at the Fermi level is 0.41 states/eV per atom. The value obtained for the formation energy from raw total energies is -12.799 eV/f.u. The total energy comes out at -44.6 eV per cell.

---

# 19
First-principles (PBE-GGA) data for an optimized crystal structure of RbNdSb, as listed in Alexandria.

Unit cell a=5.1996 b=5.1996 c=13.8571 alpha=79.19 beta=79.19 gamma=60.00
Positions (direct):
Nd: 0.3035 0.3035 0.0896
Nd: 0.6965 0.6965 0.9104
Rb: 0.1114 0.1114 0.6657
Rb: 0.8886 0.8886 0.3343
Sb: 0.3849 0.3849 0.8453
Sb: 0.6151 0.6151 0.1547

Results
Its density of states at the Fermi level is 0.74 states/eV per atom. The value obtained for the formation energy from raw total energies is -1.687 eV/f.u. The total energy comes out at -23.1 eV per cell.

---

# 20
First-principles (PBE-GGA) data for an optimized crystal structure of Rb3NdSb2Se6, as listed in Alexandria.

Unit cell a=7.4813 b=7.4813 c=8.3769 alpha=98.57 beta=98.57 gamma=120.00
Positions (direct):
Rb: 0.1665 0.8335 0.5000
Rb: 0.8335 0.1665 0.5000
Rb: 0.5000 0.5000 0.5000
Nd: 0.0000 0.0000 0.0000
Sb: 0.3333 0.6667 0.0000
Sb: 0.6667 0.3333 0.0000
Se: 0.9340 0.5945 0.8021
Se: 0.7266 0.7266 0.1978
Se: 0.0660 0.4055 0.1979
Se: 0.5945 0.9340 0.8021
Se: 0.2734 0.2734 0.8022
Se: 0.4055 0.0660 0.1979

Results
The value obtained for the formation energy from raw total energies is -12.326 eV/f.u. The total energy comes out at -49.1 eV per cell.